# 1
First-principles (meta-GGA SCAN) data for a crystal of SrScTa2 relaxed with PBEsol, as listed in Alexandria via LeMat-Bulk.

a = 9.4916 Å, b = 3.0093 Å, c = 6.7074 Å
α = 90.00°, β = 93.31°, γ = 90.00°
Space group Cm (No. 8)
Inequivalent atoms, fractional coordinates:
Sr (0.0000, 0.0000, 0.0000) [2 per cell]
Sc (0.2656, 0.5000, 0.3258) [2 per cell]
Ta (0.0031, 0.5000, 0.5372) [2 per cell]
Ta (0.2395, 0.0000, 0.6916) [2 per cell]

Values from the calculation:
Formation energy from the elements ... 232 kJ/mol of formula units
Polymorph energy (0 for the lowest one) ... 16.6 meV/atom



# 2
First-principles (meta-GGA SCAN) data for a crystal of SrScTc2 relaxed with PBEsol, as listed in Alexandria via LeMat-Bulk.

a = 3.5065 Å, b = 3.6759 Å, c = 6.8337 Å
α = 90.00°, β = 90.00°, γ = 90.00°
Space group Pmmm (No. 47)
Inequivalent atoms, fractional coordinates:
Sr (0.0000, 0.0000, 0.0000) [1 per cell]
Sc (0.0000, 0.0000, 0.5000) [1 per cell]
Tc (0.5000, 0.5000, 0.3381) [2 per cell]

Values from the calculation:
Formation energy from the elements ... 111 kJ/mol of formula units
Polymorph energy (0 for the lowest one) ... 0.0 meV/atom



# 3
First-principles (meta-GGA SCAN) data for a crystal of SrScTc2 relaxed with PBEsol, as listed in Alexandria via LeMat-Bulk.

a = 5.8594 Å, b = 9.3360 Å, c = 2.8296 Å
α = 90.00°, β = 108.43°, γ = 90.00°
Space group C2/m (No. 12)
Inequivalent atoms, fractional coordinates:
Sr (0.0000, 0.0000, 0.0000) [2 per cell]
Sc (0.0000, 0.5000, 0.0000) [2 per cell]
Tc (0.2500, 0.2500, 0.5000) [4 per cell]

Values from the calculation:
Formation energy from the elements ... 306 kJ/mol of formula units
Polymorph energy (0 for the lowest one) ... 505.8 meV/atom



# 4
First-principles (meta-GGA SCAN) data for a crystal of Sr3ScTe relaxed with PBEsol, as listed in Alexandria via LeMat-Bulk.

a = 6.0704 Å, b = 6.0704 Å, c = 6.0704 Å
α = 90.00°, β = 90.00°, γ = 90.00°
Space group Pm-3m (No. 221)
Inequivalent atoms, fractional coordinates:
Sr (0.0000, 0.0000, 0.5000) [3 per cell]
Sc (0.0000, 0.0000, 0.0000) [1 per cell]
Te (0.5000, 0.5000, 0.5000) [1 per cell]

Values from the calculation:
Uncorrected formation energy ... 0.37 eV/atom



Number 1: raw total energy -41.818 eV/atom, density of states at the Fermi level 0.885 states/eV per atom. Number 2: raw total energy -26.370 eV/atom, density of states at the Fermi level 0.442 states/eV per atom. Number 3: raw total energy -25.865 eV/atom, density of states at the Fermi level 1.117 states/eV per atom. Number 4: raw total energy -23.298 eV/atom, density of states at the Fermi level 0.441 states/eV per atom.